Compound: Na2CaC2O6
Source: Alexandria
Functional: PBE-GGA
Structure: optimized geometry

```
data_Na2CaC2O6
_cell_length_a 5.1797
_cell_length_b 5.1797
_cell_length_c 11.9822
_cell_angle_alpha 90.00
_cell_angle_beta 90.00
_cell_angle_gamma 120.00
_space_group_name_H-M_alt 'P 1'
_space_group_IT_number 1
loop_
_space_group_symop_operation_xyz
'x,y,z'
loop_
_atom_site_label
_atom_site_fract_x
_atom_site_fract_y
_atom_site_fract_z
Na1 0.6667 0.3333 0.6987
Na2 0.3333 0.6667 0.1987
Na3 0.6667 0.3333 0.3599
Na4 0.3333 0.6667 0.8599
Ca1 0.0000 0.0000 0.0327
Ca2 0.0000 0.0000 0.5327
C1 0.6667 0.3333 0.0016
C2 0.3333 0.6667 0.5016
C3 0.0000 0.0000 0.7427
C4 0.0000 0.0000 0.2427
O1 0.5218 0.0436 0.0014
O2 0.5218 0.4782 0.0014
O3 0.4782 0.9564 0.5014
O4 0.9564 0.4782 0.0014
O5 0.4782 0.5218 0.5014
O6 0.0436 0.5218 0.5014
O7 0.1442 0.2885 0.7367
O8 0.1442 0.8558 0.7367
O9 0.8558 0.7115 0.2367
O10 0.7115 0.8558 0.7367
O11 0.8558 0.1442 0.2367
O12 0.2885 0.1442 0.2367
```

Summary:
* raw total energy: -6.659 eV/atom
* crystal system: hexagonal
* formation energy (no corrections): -1.856 eV per atom
* N(E_F): 0.000 states/eV per atom
* relative energy among the computed polymorphs: 1.34 eV/f.u.